## Sr3As4 (PBE)

Data for a relaxed Sr3As4 crystal.

```
data_Sr3As4
_chemical_formula_sum 'Sr24 As32'
_space_group_name_H-M_alt 'F d d 2'
_space_group_IT_number 43
_space_group_name_Hall 'F 2 -2d'
_cell_length_a 14.992
_cell_length_b 18.057
_cell_length_c 6.038
_cell_angle_alpha 90.00
_cell_angle_beta 90.00
_cell_angle_gamma 90.00
loop_
_atom_site_label
_atom_site_type_symbol
_atom_site_fract_x
_atom_site_fract_y
_atom_site_fract_z
Sr1 Sr 0.000 0.000 0.000
Sr2 Sr 0.003 0.167 0.469
As1 As 0.085 0.330 0.478
As2 As 0.086 0.497 0.999
```

For the total magnetization, the calculation gives 0.0 μB per cell. As for the density: 4.57 Mg/m³. Its distance to the lowest polymorph of the same formula is 0.0 meV/atom.